Computed, not measured: a geometry-optimized PrPd6Au2 structure at the PBE-GGA level of DFT.

Structure (POSCAR):
```
PrPd6Au2
1.0
8.246 0.000 0.000
4.123 7.141 0.000
4.123 2.380 6.733
Pr Pd Au
2 12 4
direct
0.500 0.500 0.500
0.750 0.750 0.750
0.266 0.266 0.734
0.734 0.734 0.266
0.266 0.734 0.266
0.266 0.734 0.734
0.516 0.516 0.984
0.516 0.984 0.984
0.734 0.266 0.734
0.984 0.984 0.516
0.516 0.984 0.516
0.984 0.516 0.516
0.734 0.266 0.266
0.984 0.516 0.984
0.125 0.125 0.125
0.125 0.625 0.125
0.125 0.125 0.625
0.625 0.125 0.125
```

energy above the most stable polymorph in this dataset: 0 meV per atom
DFT total energy: -4.5725 eV per atom
calculated volume: 22.02 Å³/atom
symmetry: Fd-3m

***

Computed, not measured: a geometry-optimized Sc2IN structure at the PBE-GGA level of DFT.

Structure (POSCAR):
```
Sc2IN
1.0
-3.792 1.136 -4.354
-3.073 -4.813 1.420
-6.326 0.969 1.785
I Sc N
2 4 2
direct
0.000 0.000 0.000
0.750 0.250 0.500
0.507 0.125 0.250
0.243 0.625 0.250
0.375 0.493 0.750
0.875 0.757 0.750
0.500 0.500 0.000
0.250 0.750 0.500
```

ΔE_f (raw): -0.974 eV per atom
DFT total energy: -6.6084 eV per atom
calculated volume: 22.42 Å³/atom
symmetry: I-42d

***

Computed, not measured: a geometry-optimized NdEuHg2 structure at the PBE-GGA level of DFT.

Structure (POSCAR):
```
NdEuHg2
1.0
4.012 0.000 0.000
2.006 3.474 0.000
2.006 1.158 9.193
Eu Nd Hg
1 1 2
direct
0.500 0.500 0.500
0.000 0.000 0.000
0.748 0.748 0.757
0.252 0.252 0.243
```

DFT total energy: -4.2510 eV per atom
calculated volume: 32.03 Å³/atom
symmetry: R-3m

***

Computed, not measured: a geometry-optimized Gd2ScCl structure at the PBE-GGA level of DFT.

Structure (POSCAR):
```
Gd2ScCl
1.0
3.585 0.000 0.000
1.793 3.105 0.000
1.793 1.035 9.699
Sc Gd Cl
1 2 1
direct
0.500 0.500 0.500
0.742 0.742 0.773
0.258 0.258 0.227
0.000 0.000 0.000
```

ΔE_f (raw): -0.634 eV per atom
DFT total energy: -9.7187 eV per atom
calculated volume: 26.99 Å³/atom
symmetry: R-3m

***

Computed, not measured: a geometry-optimized PmTcBC structure at the PBE-GGA level of DFT.

Structure (POSCAR):
```
PmTcBC
1.0
3.685 0.000 0.000
0.000 3.685 0.000
0.000 0.000 8.371
Pm Tc B C
2 2 2 2
direct
0.000 0.500 0.840
0.500 0.000 0.160
0.000 0.000 0.500
0.500 0.500 0.500
0.000 0.500 0.320
0.500 0.000 0.680
0.500 0.000 0.858
0.000 0.500 0.142
```

DFT total energy: -7.9721 eV per atom
calculated volume: 14.21 Å³/atom
symmetry: P4/nmm

***

Computed, not measured: a geometry-optimized Ag3MoS structure at the PBE-GGA level of DFT.

Structure (POSCAR):
```
Ag3MoS
1.0
5.075 0.000 0.000
0.000 5.075 0.000
0.000 0.000 5.075
Mo S Ag
1 1 3
direct
0.000 0.000 0.000
0.500 0.500 0.500
0.000 0.500 0.000
0.000 0.000 0.500
0.500 0.000 0.000
```

energy above the most stable polymorph in this dataset: 760 meV per atom
ΔE_f (raw): 1.813 eV per atom
DFT total energy: -2.8898 eV per atom
calculated volume: 26.14 Å³/atom
symmetry: Pm-3m

***

Computed, not measured: a geometry-optimized BaSBr3 structure at the PBE-GGA level of DFT.

Structure (POSCAR):
```
BaSBr3
1.0
6.356 0.000 0.000
0.000 6.356 0.000
0.000 0.000 6.356
S Ba Br
1 1 3
direct
0.500 0.500 0.500
0.000 0.000 0.000
0.000 0.500 0.000
0.000 0.000 0.500
0.500 0.000 0.000
```

energy above the most stable polymorph in this dataset: 319 meV per atom
ΔE_f (raw): -0.511 eV per atom
DFT total energy: -2.7252 eV per atom
calculated volume: 51.35 Å³/atom
symmetry: Pm-3m

***

Computed, not measured: a geometry-optimized PrEu2Hg structure at the PBE-GGA level of DFT.

Structure (POSCAR):
```
PrEu2Hg
1.0
5.086 0.000 0.000
0.000 5.044 0.000
0.000 0.000 5.044
Eu Pr Hg
2 1 1
direct
0.000 0.000 0.500
0.000 0.500 0.000
0.500 0.500 0.500
0.500 0.000 0.000
```

energy above the most stable polymorph in this dataset: 84 meV per atom
DFT total energy: -6.5440 eV per atom
calculated volume: 32.35 Å³/atom
symmetry: P4/mmm

***

Computed, not measured: a geometry-optimized BaLi4In4 structure at the PBE-GGA level of DFT.

Structure (POSCAR):
```
BaLi4In4
1.0
-3.041 3.098 -2.571
-6.909 -6.752 0.035
-3.419 3.541 8.312
Ba Li In
2 8 8
direct
0.000 0.000 0.000
0.500 0.500 0.500
0.500 0.838 0.276
0.500 0.162 0.724
0.000 0.776 0.662
0.000 0.338 0.776
0.000 0.662 0.224
0.500 0.276 0.162
0.500 0.724 0.838
0.000 0.224 0.338
0.500 0.400 0.880
0.000 0.620 0.900
0.500 0.600 0.120
0.000 0.100 0.620
0.500 0.880 0.600
0.000 0.900 0.380
0.000 0.380 0.100
0.500 0.120 0.400
```

DFT total energy: -2.5283 eV per atom
calculated volume: 26.16 Å³/atom
symmetry: I4/m

***

Computed, not measured: a geometry-optimized LaSnOs3 structure at the PBE-GGA level of DFT.

Structure (POSCAR):
```
LaSnOs3
1.0
-0.934 0.690 -4.782
-4.784 0.550 1.014
0.677 4.842 0.566
Os Sn La
3 1 1
direct
0.000 0.500 0.000
0.000 0.000 0.500
0.500 0.000 0.000
0.500 0.500 0.500
0.000 0.000 0.000
```

energy above the most stable polymorph in this dataset: 1075 meV per atom
DFT total energy: -5.9140 eV per atom
calculated volume: 23.84 Å³/atom
symmetry: Pm-3m

***

Computed, not measured: a geometry-optimized KCaBr2 structure at the PBE-GGA level of DFT.

Structure (POSCAR):
```
KCaBr2
1.0
6.733 0.014 -0.020
-0.202 6.730 0.020
-1.115 -5.456 3.786
Br Ca K
2 1 1
direct
0.960 0.960 0.000
0.540 0.540 0.000
0.750 0.250 0.500
0.250 0.750 0.500
```

energy above the most stable polymorph in this dataset: 104 meV per atom
ΔE_f (raw): -1.381 eV per atom
DFT total energy: -2.9918 eV per atom
calculated volume: 43.04 Å³/atom
symmetry: Immm

***

Computed, not measured: a geometry-optimized RbScSn structure at the PBE-GGA level of DFT.

Structure (POSCAR):
```
RbScSn
1.0
-3.855 -2.806 -1.343
2.622 -1.162 4.040
-7.245 6.769 6.645
Sc Sn Rb
2 2 2
direct
0.294 0.051 0.505
0.627 0.718 0.650
0.294 0.051 0.743
0.961 0.384 0.504
0.627 0.718 0.273
0.961 0.385 0.928
```

energy above the most stable polymorph in this dataset: 139 meV per atom
DFT total energy: -3.9771 eV per atom
calculated volume: 42.28 Å³/atom
symmetry: P3m1

***

Computed, not measured: a geometry-optimized LiPm2Pt structure at the PBE-GGA level of DFT.

Structure (POSCAR):
```
LiPm2Pt
1.0
-4.661 -0.205 2.099
-1.831 -4.451 1.734
-0.508 -0.771 5.032
Li Pt Pm
1 1 2
direct
0.500 0.500 0.500
0.000 0.000 0.000
0.250 0.250 0.250
0.750 0.750 0.750
```

energy above the most stable polymorph in this dataset: 0 meV per atom
DFT total energy: -4.9131 eV per atom
calculated volume: 23.67 Å³/atom
symmetry: Fm-3m

***

Computed, not measured: a geometry-optimized Tb3Pm2Au2 structure at the PBE-GGA level of DFT.

Structure (POSCAR):
```
Tb3Pm2Au2
1.0
-0.368 3.240 1.901
-5.558 -3.542 1.214
7.319 -2.219 5.201
Tb Pm Au
3 2 2
direct
0.500 0.000 0.000
0.614 0.228 0.446
0.386 0.772 0.554
0.849 0.697 0.187
0.151 0.303 0.813
0.834 0.667 0.767
0.166 0.333 0.233
```

DFT total energy: -4.7719 eV per atom
calculated volume: 28.71 Å³/atom
symmetry: C2/m

***

Computed, not measured: a geometry-optimized Tl2VSe3 structure at the PBE-GGA level of DFT.

Structure (POSCAR):
```
Tl2VSe3
1.0
-6.448 2.342 0.175
-2.786 -5.849 -3.482
-2.172 -4.802 5.130
Tl V Se
4 2 6
direct
0.694 0.173 0.514
0.194 0.514 0.173
0.806 0.486 0.827
0.306 0.827 0.486
0.750 0.912 0.088
0.250 0.088 0.912
0.250 0.350 0.650
0.750 0.650 0.350
0.006 0.877 0.846
0.494 0.154 0.123
0.506 0.846 0.877
0.994 0.123 0.154
```

energy above the most stable polymorph in this dataset: 0 meV per atom
ΔE_f (raw): -0.510 eV per atom
DFT total energy: -4.5605 eV per atom
calculated volume: 29.39 Å³/atom
symmetry: C2/c

***

Computed, not measured: a geometry-optimized NaSeI2O structure at the PBE-GGA level of DFT.

Structure (POSCAR):
```
NaSeI2O
1.0
6.008 0.000 0.000
0.000 6.008 0.000
0.000 0.000 3.880
I Na O Se
2 1 1 1
direct
0.000 0.500 0.000
0.500 0.000 0.000
0.500 0.500 0.500
0.000 0.000 0.500
0.000 0.000 0.000
```

energy above the most stable polymorph in this dataset: 0 meV per atom
ΔE_f (raw): -0.437 eV per atom
DFT total energy: -3.0097 eV per atom
calculated volume: 28.00 Å³/atom
symmetry: P4/mmm

***

Computed, not measured: a geometry-optimized Sc2InPd3 structure at the PBE-GGA level of DFT.

Structure (POSCAR):
```
Sc2InPd3
1.0
-3.608 2.959 0.120
-0.405 -4.085 -2.221
-3.679 -4.877 9.642
Sc In Pd
4 2 6
direct
0.000 0.000 0.500
0.333 0.667 0.174
0.667 0.333 0.826
0.000 0.000 0.000
0.333 0.667 0.669
0.667 0.333 0.331
0.333 0.667 0.423
0.667 0.333 0.076
0.000 0.000 0.754
0.000 0.000 0.246
0.333 0.667 0.924
0.667 0.333 0.577
```

DFT total energy: -6.0140 eV per atom
calculated volume: 17.94 Å³/atom
symmetry: P-3m1

***

Computed, not measured: a geometry-optimized PrSmBr2 structure at the PBE-GGA level of DFT.

Structure (POSCAR):
```
PrSmBr2
1.0
-1.841 -2.722 1.760
1.856 -2.427 2.136
-1.322 4.471 9.480
Pr Br Sm
1 2 1
direct
0.000 0.000 0.000
0.098 0.098 0.706
0.902 0.902 0.294
0.500 0.500 0.500
```

energy above the most stable polymorph in this dataset: 61 meV per atom
ΔE_f (raw): -1.068 eV per atom
DFT total energy: -4.2786 eV per atom
calculated volume: 31.13 Å³/atom
symmetry: R-3m

***

Computed, not measured: a geometry-optimized K2HfCu2 structure at the PBE-GGA level of DFT.

Structure (POSCAR):
```
K2HfCu2
1.0
9.055 0.000 0.000
0.000 9.055 0.000
0.000 0.000 2.916
K Hf Cu
4 2 4
direct
0.379 0.879 0.000
0.879 0.621 0.000
0.621 0.121 0.000
0.121 0.379 0.000
0.000 0.000 0.000
0.500 0.500 0.000
0.187 0.687 0.500
0.687 0.813 0.500
0.813 0.313 0.500
0.313 0.187 0.500
```

energy above the most stable polymorph in this dataset: 0 meV per atom
DFT total energy: -3.1361 eV per atom
calculated volume: 23.91 Å³/atom
symmetry: P4/mbm

***

Computed, not measured: a geometry-optimized Pr2NdPb2 structure at the PBE-GGA level of DFT.

Structure (POSCAR):
```
Pr2NdPb2
1.0
3.639 0.000 0.000
0.000 6.231 0.818
0.000 0.471 14.915
Pr Nd Pb
4 2 4
direct
0.250 0.781 0.912
0.750 0.219 0.088
0.250 0.245 0.492
0.750 0.755 0.508
0.250 0.666 0.282
0.750 0.334 0.718
0.250 0.863 0.690
0.750 0.137 0.310
0.250 0.286 0.902
0.750 0.714 0.098
```

energy above the most stable polymorph in this dataset: 0 meV per atom
DFT total energy: -4.6794 eV per atom
calculated volume: 33.67 Å³/atom
symmetry: P2_1/m